# 1
{"formula": "BP2SO", "functional": "GGA-PBE", "state": "optimized geometry", "polymorph_energy_ev_per_atom": 0.872, "spacegroup": "No. 123", "formation_energy_uncorrected_ev_per_atom": 1.24, "lattice": [[-4.001, -1.606, 1.305], [0.707, -3.730, -2.423], [1.456, -1.458, 2.668]], "species": ["P", "P", "S", "B", "O"], "frac_coords": [[0.000, 0.500, 0.000], [0.500, 0.000, 0.000], [0.000, 0.000, 0.000], [0.500, 0.500, 0.500], [0.000, 0.000, 0.500]]}

=====

# 2
{"formula": "Nd3TmSn", "functional": "GGA-PBE", "state": "optimized geometry", "spacegroup": "No. 2", "ef_mev_per_atom": -251, "lattice": [[3.623, 0.376, -0.169], [-0.831, 8.149, 0.361], [-1.029, -2.988, 10.621]], "species": ["Nd", "Nd", "Nd", "Nd", "Nd", "Nd", "Tm", "Tm", "Sn", "Sn"], "frac_coords": [[0.284, 0.186, 0.568], [0.508, 0.268, 0.016], [0.113, 0.031, 0.227], [0.716, 0.814, 0.432], [0.887, 0.969, 0.773], [0.492, 0.732, 0.984], [0.319, 0.607, 0.637], [0.681, 0.393, 0.363], [0.903, 0.410, 0.806], [0.097, 0.590, 0.194]]}

=====

# 3
{"formula": "Tb3Dy12Tl", "functional": "GGA-PBE", "state": "optimized geometry", "spacegroup": "No. 123", "ef_mev_per_atom": -26, "lattice": [[4.954, 0.000, 0.000], [0.000, 4.954, 0.000], [0.000, 0.000, 20.141]], "species": ["Tb", "Tb", "Tb", "Dy", "Dy", "Dy", "Dy", "Dy", "Dy", "Dy", "Dy", "Dy", "Dy", "Dy", "Dy", "Tl"], "frac_coords": [[0.000, 0.000, 0.249], [0.000, 0.000, 0.500], [0.000, 0.000, 0.751], [0.500, 0.500, 0.000], [0.500, 0.500, 0.245], [0.500, 0.500, 0.500], [0.500, 0.500, 0.755], [0.500, 0.000, 0.122], [0.500, 0.000, 0.374], [0.500, 0.000, 0.626], [0.500, 0.000, 0.878], [0.000, 0.500, 0.122], [0.000, 0.500, 0.374], [0.000, 0.500, 0.626], [0.000, 0.500, 0.878], [0.000, 0.000, 0.000]]}

=====

# 4
{"formula": "MgAsSe2N", "functional": "GGA-PBE", "state": "optimized geometry", "polymorph_energy_ev_per_atom": 0.965, "spacegroup": "No. 123", "formation_energy_uncorrected_ev_per_atom": 1.37, "lattice": [[5.013, 0.000, 0.000], [0.000, 5.013, 0.000], [0.000, 0.000, 5.210]], "species": ["As", "Mg", "Se", "Se", "N"], "frac_coords": [[0.000, 0.000, 0.500], [0.000, 0.000, 0.000], [0.000, 0.500, 0.000], [0.500, 0.000, 0.000], [0.500, 0.500, 0.500]]}

=====

# 5
{"formula": "Pm2SmY5Th", "functional": "GGA-PBE", "state": "optimized geometry", "spacegroup": "No. 140", "ef_mev_per_atom": 281, "lattice": [[-8.324, 2.697, 0.495], [-2.465, -8.052, 2.428], [6.455, 4.589, 5.954]], "species": ["Pm", "Pm", "Pm", "Pm", "Sm", "Sm", "Y", "Y", "Y", "Y", "Y", "Y", "Y", "Y", "Y", "Y", "Th", "Th"], "frac_coords": [[0.116, 0.384, 0.000], [0.616, 0.116, 0.000], [0.384, 0.884, 0.000], [0.884, 0.616, 0.000], [0.250, 0.750, 0.500], [0.750, 0.250, 0.500], [0.927, 0.427, 0.276], [0.650, 0.150, 0.724], [0.073, 0.573, 0.724], [0.150, 0.073, 0.724], [0.573, 0.650, 0.724], [0.850, 0.927, 0.276], [0.427, 0.350, 0.276], [0.350, 0.850, 0.276], [0.500, 0.500, 0.000], [0.000, 0.000, 0.000], [0.250, 0.250, 0.500], [0.750, 0.750, 0.500]]}

=====

# 6
{"formula": "KRb3C", "functional": "GGA-PBE", "state": "optimized geometry", "polymorph_energy_ev_per_atom": 0.868, "spacegroup": "No. 221", "ef_mev_per_atom": 1752, "lattice": [[7.660, 0.000, 0.000], [0.000, 7.660, 0.000], [0.000, 0.000, 7.660]], "species": ["K", "C", "Rb", "Rb", "Rb"], "frac_coords": [[0.000, 0.000, 0.000], [0.500, 0.500, 0.500], [0.000, 0.500, 0.000], [0.000, 0.000, 0.500], [0.500, 0.000, 0.000]]}

=====

# 7
{"formula": "ScCuRe2", "functional": "GGA-PBE", "state": "optimized geometry", "polymorph_energy_ev_per_atom": 0.198, "spacegroup": "No. 10", "ef_mev_per_atom": 149, "lattice": [[4.682, 0.000, 0.000], [0.000, 2.811, -0.016], [0.000, 0.413, 4.774]], "species": ["Cu", "Re", "Re", "Sc"], "frac_coords": [[0.500, 0.750, 0.750], [0.000, 0.941, 0.002], [0.000, 0.559, 0.498], [0.500, 0.250, 0.250]]}

=====

# 8
{"formula": "NdTmSi2", "functional": "GGA-PBE", "state": "optimized geometry", "polymorph_energy_ev_per_atom": 0.000, "spacegroup": "No. 38", "formation_energy_uncorrected_ev_per_atom": -0.76, "lattice": [[4.347, 0.000, -0.029], [0.000, 3.869, 0.000], [-2.137, 0.000, 5.357]], "species": ["Nd", "Tm", "Si", "Si"], "frac_coords": [[0.724, 0.000, 0.988], [0.445, 0.500, 0.428], [0.156, 0.500, 0.850], [0.006, 0.000, 0.552]]}

=====

- Which formula does entry 7 have?
  ScCuRe2